Zn2SO6, optimized geometry, DFT GGA-PBE; SG = No. 136; uncorrected formation energy = -750 meV per atom; M_tot = 1.982 μB per formula unit
1.0
-3.489 2.649 1.201
-2.779 -2.481 -2.599
-1.658 -5.267 6.800
Zn S O
4 2 12
Direct
0.000 0.000 0.334
0.500 0.500 0.834
0.500 0.500 0.166
0.000 0.000 0.666
0.000 0.000 0.000
0.500 0.500 0.500
0.323 0.323 0.363
0.677 0.677 0.363
0.177 0.823 0.863
0.823 0.177 0.863
0.177 0.823 0.137
0.823 0.177 0.137
0.323 0.323 0.637
0.677 0.677 0.637
0.260 0.260 0.000
0.740 0.740 0.000
0.240 0.760 0.500
0.760 0.240 0.500